! AlInMo4C2 (PBE, optimized geometry); values from VASP
&SYSTEM
  ibrav = 0, nat = 8, ntyp = 4
/
ATOMIC_SPECIES
Al 26.98 Al.upf
In 114.82 In.upf
Mo 95.94 Mo.upf
C 12.01 C.upf
ATOMIC_POSITIONS crystal
Al 0.000 0.000 0.000
In 0.333 0.667 0.500
Mo 0.000 0.000 0.326
Mo 0.000 0.000 0.674
Mo 0.333 0.667 0.155
Mo 0.333 0.667 0.845
C 0.667 0.333 0.241
C 0.667 0.333 0.759
CELL_PARAMETERS angstrom
3.076 0.000 0.000
-1.538 2.664 0.000
0.000 0.000 13.755
! mass density = 8.095 g/cm³
! calculated total energy = -68.832 eV for the cell shown
! space group = P-6m2